Record 1
Compound: LaRuAu2
Source: Alexandria via LeMat-Bulk
Functional: PBE
Structure: optimized geometry

formation energy = -0.176 eV per atom
crystal system = tetragonal
excess energy over the best structure of this formula in the dataset = 0.38 eV/f.u.

Lattice parameters (Å, degrees): 4.358 4.358 8.561 90.00 90.00 90.00
Space group I-4m2 (No. 119)
Inequivalent atoms, fractional coordinates:
La1 0.000 0.000 0.000 (multiplicity 2)
Ru1 0.000 0.500 0.250 (multiplicity 2)
Au1 0.000 0.000 0.500 (multiplicity 2)
Au2 0.000 0.500 0.750 (multiplicity 2)



Record 2
Compound: La2RuAu
Source: Alexandria via LeMat-Bulk
Functional: PBE
Structure: optimized geometry

formation energy = -0.527 eV per atom
crystal system = orthorhombic

Lattice parameters (Å, degrees): 4.418 4.190 11.175 90.00 90.00 90.00
Space group Amm2 (No. 38)
Inequivalent atoms, fractional coordinates:
La1 0.000 0.000 0.000 (multiplicity 2)
La2 0.500 0.000 0.294 (multiplicity 2)
Ru1 0.500 0.000 0.514 (multiplicity 2)
Au1 0.000 0.000 0.710 (multiplicity 2)



Record 3
Compound: La2RuAu
Source: Alexandria via LeMat-Bulk
Functional: PBE
Structure: optimized geometry

formation energy = 0.368 eV per atom
crystal system = orthorhombic

Lattice parameters (Å, degrees): 3.305 5.358 11.020 90.00 90.00 90.00
Space group Immm (No. 71)
Inequivalent atoms, fractional coordinates:
La1 0.000 0.000 0.229 (multiplicity 4)
Ru1 0.000 0.000 0.000 (multiplicity 2)
Au1 0.000 0.000 0.500 (multiplicity 2)



Record 4
Compound: La12Ru5Au3
Source: Alexandria via LeMat-Bulk
Functional: PBE
Structure: optimized geometry

formation energy = -0.255 eV per atom
crystal system = cubic

Lattice parameters (Å, degrees): 17.212 17.212 17.212 90.00 90.00 90.00
Space group Ia-3d (No. 230)
Inequivalent atoms, fractional coordinates:
La1 0.028 0.059 0.651 (multiplicity 96)
Ru1 0.000 0.000 0.000 (multiplicity 16)
Ru2 0.000 0.250 0.375 (multiplicity 24)
Au1 0.000 0.250 0.125 (multiplicity 24)